No. 1
The following is a DFT calculation (GGA-PBE) of a relaxed YTmCo4 crystal.

Structure (CIF):
```
data_YTmCo4
_chemical_formula_sum 'Y4 Tm4 Co16'
_cell_length_a 7.148
_cell_length_b 7.148
_cell_length_c 7.148
_cell_angle_alpha 90.00
_cell_angle_beta 90.00
_cell_angle_gamma 90.00
_space_group_name_H-M_alt 'F -4 3 m'
_space_group_IT_number 216
_space_group_name_Hall 'F -4 2 3'
loop_
_atom_site_label
_atom_site_type_symbol
_atom_site_fract_x
_atom_site_fract_y
_atom_site_fract_z
Y1 Y 0.000 0.000 0.000
Tm1 Tm 0.250 0.250 0.250
Co1 Co 0.125 0.125 0.625
```

Properties
E_form: -0.2236 eV per atom

No. 2
The following is a DFT calculation (GGA-PBE) of a relaxed YTmCo2 crystal.

Structure (CIF):
```
data_YTmCo2
_chemical_formula_sum 'Y2 Tm2 Co4'
_cell_length_a 3.855
_cell_length_b 5.497
_cell_length_c 7.463
_cell_angle_alpha 90.00
_cell_angle_beta 90.00
_cell_angle_gamma 90.00
_space_group_name_H-M_alt 'P m c 21'
_space_group_IT_number 26
_space_group_name_Hall 'P 2c -2'
loop_
_atom_site_label
_atom_site_type_symbol
_atom_site_fract_x
_atom_site_fract_y
_atom_site_fract_z
Y1 Y 0.000 0.135 0.000
Tm1 Tm 0.500 0.366 0.644
Co1 Co 0.000 0.355 0.351
Co2 Co 0.500 0.158 0.297
```

Properties
E_form: -0.2252 eV per atom

No. 3
The following is a DFT calculation (GGA-PBE) of a relaxed Y3Tm2Co2 crystal.

Structure (CIF):
```
data_Y3Tm2Co2
_chemical_formula_sum 'Y6 Tm4 Co4'
_cell_length_a 11.927
_cell_length_b 3.649
_cell_length_c 8.800
_cell_angle_alpha 90.00
_cell_angle_beta 115.83
_cell_angle_gamma 90.00
_space_group_name_H-M_alt 'C 1 2/m 1'
_space_group_IT_number 12
_space_group_name_Hall '-C 2y'
loop_
_atom_site_label
_atom_site_type_symbol
_atom_site_fract_x
_atom_site_fract_y
_atom_site_fract_z
Y1 Y 0.000 0.000 0.000
Y2 Y 0.117 0.000 0.427
Tm1 Tm 0.174 0.500 0.807
Co1 Co 0.180 0.500 0.239
```

Properties
E_form: -0.1603 eV per atom

No. 4
The following is a DFT calculation (GGA-PBE) of a relaxed Y2TmCo crystal.

Structure (CIF):
```
data_Y2TmCo
_chemical_formula_sum 'Y6 Tm3 Co3'
_cell_length_a 3.5605
_cell_length_b 3.5605
_cell_length_c 30.8626
_cell_angle_alpha 90.00
_cell_angle_beta 90.00
_cell_angle_gamma 120.00
_space_group_name_H-M_alt 'R -3 m'
_space_group_IT_number 166
_space_group_name_Hall '-R 3 2"'
loop_
_atom_site_label
_atom_site_type_symbol
_atom_site_fract_x
_atom_site_fract_y
_atom_site_fract_z
Y1 Y 0.0000 0.0000 0.1120
Tm1 Tm 0.0000 0.0000 0.0000
Co1 Co 0.0000 0.0000 0.5000
```

Properties
E_form: 0.2103 eV per atom

No. 5
The following is a DFT calculation (GGA-PBE) of a relaxed YTm2Co2 crystal.

Structure (CIF):
```
data_YTm2Co2
_chemical_formula_sum 'Y2 Tm4 Co4'
_cell_length_a 11.195
_cell_length_b 3.711
_cell_length_c 5.426
_cell_angle_alpha 90.00
_cell_angle_beta 103.45
_cell_angle_gamma 90.00
_space_group_name_H-M_alt 'C 1 2/m 1'
_space_group_IT_number 12
_space_group_name_Hall '-C 2y'
loop_
_atom_site_label
_atom_site_type_symbol
_atom_site_fract_x
_atom_site_fract_y
_atom_site_fract_z
Y1 Y 0.000 0.000 0.000
Tm1 Tm 0.149 0.500 0.580
Co1 Co 0.218 0.500 0.104
```

Properties
E_form: -0.1176 eV per atom

No. 6
The following is a DFT calculation (GGA-PBE) of a relaxed YTm2Co2 crystal.

Structure (CIF):
```
data_YTm2Co2
_chemical_formula_sum 'Y2 Tm4 Co4'
_cell_length_a 7.140
_cell_length_b 7.140
_cell_length_c 4.128
_cell_angle_alpha 90.00
_cell_angle_beta 90.00
_cell_angle_gamma 90.00
_space_group_name_H-M_alt 'P 4/m b m'
_space_group_IT_number 127
_space_group_name_Hall '-P 4 2ab'
loop_
_atom_site_label
_atom_site_type_symbol
_atom_site_fract_x
_atom_site_fract_y
_atom_site_fract_z
Y1 Y 0.000 0.000 0.000
Tm1 Tm 0.171 0.329 0.500
Co1 Co 0.111 0.611 0.000
```

Properties
E_form: -0.1811 eV per atom

Please write out number 6 again, unchanged.
The following is a DFT calculation (GGA-PBE) of a relaxed YTm2Co2 crystal.

Structure (CIF):
```
data_YTm2Co2
_chemical_formula_sum 'Y2 Tm4 Co4'
_cell_length_a 7.140
_cell_length_b 7.140
_cell_length_c 4.128
_cell_angle_alpha 90.00
_cell_angle_beta 90.00
_cell_angle_gamma 90.00
_space_group_name_H-M_alt 'P 4/m b m'
_space_group_IT_number 127
_space_group_name_Hall '-P 4 2ab'
loop_
_atom_site_label
_atom_site_type_symbol
_atom_site_fract_x
_atom_site_fract_y
_atom_site_fract_z
Y1 Y 0.000 0.000 0.000
Tm1 Tm 0.171 0.329 0.500
Co1 Co 0.111 0.611 0.000
```

Properties
E_form: -0.1811 eV per atom

- The highest E_form belongs to which entry?
  Y2TmCo

- Which of these has the highest E_form?
  Y2TmCo

Copy entry 6 word for word.
The following is a DFT calculation (GGA-PBE) of a relaxed YTm2Co2 crystal.

Structure (CIF):
```
data_YTm2Co2
_chemical_formula_sum 'Y2 Tm4 Co4'
_cell_length_a 7.140
_cell_length_b 7.140
_cell_length_c 4.128
_cell_angle_alpha 90.00
_cell_angle_beta 90.00
_cell_angle_gamma 90.00
_space_group_name_H-M_alt 'P 4/m b m'
_space_group_IT_number 127
_space_group_name_Hall '-P 4 2ab'
loop_
_atom_site_label
_atom_site_type_symbol
_atom_site_fract_x
_atom_site_fract_y
_atom_site_fract_z
Y1 Y 0.000 0.000 0.000
Tm1 Tm 0.171 0.329 0.500
Co1 Co 0.111 0.611 0.000
```

Properties
E_form: -0.1811 eV per atom